No. 1
## Ac5Gd3O12 (PBE)

Data for a relaxed Ac5Gd3O12 crystal.

Calculated values
Energy relative to the elements, uncorrected (eV/atom): -2.966

a b c (Å): 14.319 14.319 14.319
angles (deg): 90.00 90.00 90.00
Space group Ia-3d (No. 230)
One atom of each set of equivalent atoms:
Ac (0.000, 0.000, 0.000) [16 per cell]
Ac (0.000, 0.250, 0.375) [24 per cell]
Gd (0.000, 0.250, 0.125) [24 per cell]
O (0.023, 0.082, 0.652) [96 per cell]

No. 2
## SrLiPd2 (PBE)

Data for a relaxed SrLiPd2 crystal.

Calculated values
Calculated formation energy (meV per atom): -557

a b c (Å): 5.6808 5.6808 25.1651
angles (deg): 90.00 90.00 120.00
Space group R-3m (No. 166, hexagonal axes)
One atom of each set of equivalent atoms:
Sr (0.0000, 0.0000, 0.0000) [3 per cell]
Sr (0.0000, 0.0000, 0.1390) [6 per cell]
Li (0.0000, 0.0000, 0.3339) [6 per cell]
Li (0.0000, 0.0000, 0.5000) [3 per cell]
Pd (0.0008, 0.5004, 0.9182) [18 per cell]

Number 1: DOS(E_F) 0.00 states/eV/atom, magnetic moment 1.0482 μB/atom, final energy -9.080 eV per atom. Number 2: DOS(E_F) 0.52 states/eV/atom, magnetic moment 0.0000 μB/atom, final energy -4.053 eV per atom.